# Pu2Ga3Si (PBE, optimized geometry)
data_Pu2Ga3Si
_chemical_formula_sum 'Pu2 Ga3 Si1'
_space_group_name_H-M_alt 'P m m 2'
_space_group_IT_number 25
_space_group_name_Hall 'P 2 -2'
_cell_length_a 3.4398
_cell_length_b 4.4590
_cell_length_c 7.7501
_cell_angle_alpha 90.00
_cell_angle_beta 90.00
_cell_angle_gamma 90.00
loop_
_atom_site_label
_atom_site_fract_x
_atom_site_fract_y
_atom_site_fract_z
_atom_site_occupancy
Pu1 0.0000 0.0000 0.0000 1
Pu2 0.0000 0.5000 0.4814 1
Ga1 0.5000 0.0000 0.6550 1
Ga2 0.5000 0.5000 0.1579 1
Ga3 0.5000 0.5000 0.8215 1
Si1 0.5000 0.0000 0.3243 1
# - formation energy from raw total energies (meV/atom) = -368
# - energy above the lowest structure with this stoichiometry (kJ/mol of formula units) = 2.7
# - volume (Å³/atom) = 19.8
# - D(E_F) (states/eV per cell) = 11.30
# - spin magnetization (μB per cell) = 11.01